A plane-wave DFT calculation with PBE-GGA was carried out for ErTmMgAg after structural relaxation.

Formation energy from the elements (eV per atom): -0.15
Space-group type: F-43m, No. 216

a = 5.191 Å, b = 5.191 Å, c = 5.191 Å
α = 60.00°, β = 60.00°, γ = 60.00°
Fractional coordinates of all 4 atoms:
Ag1 0.250 0.250 0.250
Er1 0.500 0.500 0.500
Tm1 0.000 0.000 0.000
Mg1 0.750 0.750 0.750

---

A plane-wave DFT calculation with PBE-GGA was carried out for YErMg2Ag4 after structural relaxation.

Formation energy from the elements (eV per atom): -0.30
Space-group type: R-3m, No. 166

a = 4.952 Å, b = 4.952 Å, c = 8.511 Å
α = 73.09°, β = 73.09°, γ = 60.00°
Fractional coordinates of all 8 atoms:
Ag1 0.127 0.127 0.619
Ag2 0.375 0.375 0.874
Ag3 0.873 0.873 0.381
Ag4 0.625 0.625 0.126
Mg1 0.250 0.250 0.250
Mg2 0.750 0.750 0.750
Y1 0.000 0.000 0.000
Er1 0.500 0.500 0.500

---

A plane-wave DFT calculation with PBE-GGA was carried out for YErMgAg after structural relaxation.

Formation energy from the elements (eV per atom): -0.20
Space-group type: P4mm, No. 99

a = 3.716 Å, b = 3.716 Å, c = 7.309 Å
α = 90.00°, β = 90.00°, γ = 90.00°
Fractional coordinates of all 4 atoms:
Er1 0.000 0.000 0.846
Mg1 0.500 0.500 0.103
Ag1 0.500 0.500 0.614
Y1 0.000 0.000 0.365

---

A plane-wave DFT calculation with PBE-GGA was carried out for YErMgAg after structural relaxation.

Formation energy from the elements (eV per atom): -0.16
Space-group type: F-43m, No. 216

a = 5.230 Å, b = 5.230 Å, c = 5.230 Å
α = 60.00°, β = 60.00°, γ = 60.00°
Fractional coordinates of all 4 atoms:
Mg1 0.250 0.250 0.250
Ag1 0.750 0.750 0.750
Er1 0.000 0.000 0.000
Y1 0.500 0.500 0.500

---

A plane-wave DFT calculation with PBE-GGA was carried out for YEr2MgAg4 after structural relaxation.

Formation energy from the elements (eV per atom): -0.30
Space-group type: R-3m, No. 166

a = 5.020 Å, b = 5.020 Å, c = 8.753 Å
α = 73.34°, β = 73.34°, γ = 60.00°
Fractional coordinates of all 8 atoms:
Mg1 0.500 0.500 0.500
Ag1 0.377 0.377 0.869
Ag2 0.125 0.125 0.624
Ag3 0.623 0.623 0.131
Ag4 0.875 0.875 0.376
Er1 0.753 0.753 0.741
Er2 0.247 0.247 0.259
Y1 0.000 0.000 0.000

---

A plane-wave DFT calculation with PBE-GGA was carried out for ErMg2ZnAg4 after structural relaxation.

Formation energy from the elements (eV per atom): -0.18
Space-group type: R-3m, No. 166

a = 4.700 Å, b = 4.700 Å, c = 8.571 Å
α = 74.09°, β = 74.09°, γ = 60.00°
Fractional coordinates of all 8 atoms:
Ag1 0.610 0.610 0.170
Ag2 0.128 0.128 0.617
Ag3 0.390 0.390 0.830
Ag4 0.872 0.872 0.383
Mg1 0.754 0.754 0.738
Mg2 0.246 0.246 0.262
Er1 0.000 0.000 0.000
Zn1 0.500 0.500 0.500

---

A plane-wave DFT calculation with PBE-GGA was carried out for Er4MgZn2Ag after structural relaxation.

Formation energy from the elements (eV per atom): -0.27
Space-group type: R-3m, No. 166

a = 5.096 Å, b = 5.096 Å, c = 8.836 Å
α = 73.24°, β = 73.24°, γ = 60.00°
Fractional coordinates of all 8 atoms:
Zn1 0.257 0.257 0.229
Zn2 0.743 0.743 0.771
Ag1 0.500 0.500 0.500
Er1 0.621 0.621 0.136
Er2 0.872 0.872 0.383
Er3 0.379 0.379 0.864
Er4 0.128 0.128 0.617
Mg1 0.000 0.000 0.000

---

A plane-wave DFT calculation with PBE-GGA was carried out for ErMgZn2Ag5 after structural relaxation.

Formation energy from the elements (eV per atom): -0.03
Space-group type: P4/mmm, No. 123

a = 4.801 Å, b = 4.801 Å, c = 7.797 Å
α = 90.00°, β = 90.00°, γ = 90.00°
Fractional coordinates of all 9 atoms:
Ag1 0.500 0.000 0.264
Ag2 0.000 0.500 0.264
Ag3 0.000 0.500 0.736
Ag4 0.500 0.500 0.500
Ag5 0.500 0.000 0.736
Mg1 0.000 0.000 0.000
Zn1 0.500 0.500 0.848
Zn2 0.500 0.500 0.152
Er1 0.000 0.000 0.500

---

How do the records compare in DOS(E_F)? In the order shown, they have 4.3; 6.8; 3.9; 4.5; 5.7; 3.5; 5.9; 3.6 states/eV/cell.
How do the records compare in calculated total energy? In the order shown, they have -14.063; -28.049; -16.264; -16.093; -30.977; -21.891; -27.367; -23.252 eV per formula unit.